Record 1
Ac6Nd5 after structural relaxation, computed with GGA-PBE.

Cell: 6.701 6.701 12.244 Å, 95.29 95.29 120.11°
Sites, in units of the cell vectors:
Ac1 0.081 0.413 0.245
Ac2 0.251 0.251 0.754
Ac3 0.413 0.081 0.245
Ac4 0.587 0.919 0.755
Ac5 0.749 0.749 0.246
Ac6 0.919 0.587 0.755
Nd1 0.166 0.834 0.500
Nd2 0.334 0.666 0.000
Nd3 0.500 0.500 0.500
Nd4 0.666 0.334 0.000
Nd5 0.834 0.166 0.500



Record 2
Ac3Nd13 after structural relaxation, computed with GGA-PBE.

Cell: 7.542 8.900 8.900 Å, 85.87 90.00 90.00°
Sites, in units of the cell vectors:
Ac1 0.000 0.000 0.000
Ac2 0.252 0.743 0.743
Ac3 0.748 0.743 0.743
Nd1 0.000 0.413 0.916
Nd2 0.000 0.491 0.491
Nd3 0.000 0.916 0.413
Nd4 0.251 0.249 0.249
Nd5 0.253 0.167 0.660
Nd6 0.253 0.660 0.167
Nd7 0.500 0.000 0.000
Nd8 0.500 0.406 0.917
Nd9 0.500 0.493 0.493
Nd10 0.500 0.917 0.406
Nd11 0.747 0.167 0.660
Nd12 0.747 0.660 0.167
Nd13 0.749 0.249 0.249



Record 3
Ac3Nd2 after structural relaxation, computed with GGA-PBE.

Cell: 9.905 9.905 9.905 Å, 44.47 44.47 44.47°
Sites, in units of the cell vectors:
Ac1 0.219 0.750 0.281
Ac2 0.250 0.719 0.781
Ac3 0.281 0.219 0.750
Ac4 0.719 0.781 0.250
Ac5 0.750 0.281 0.219
Ac6 0.781 0.250 0.719
Nd1 0.191 0.191 0.191
Nd2 0.309 0.309 0.309
Nd3 0.691 0.691 0.691
Nd4 0.809 0.809 0.809



Record 4
Ac3Nd2 after structural relaxation, computed with GGA-PBE.

Cell: 10.289 10.289 3.937 Å, 90.00 90.00 90.00°
Sites, in units of the cell vectors:
Ac1 0.000 0.000 0.000
Ac2 0.176 0.324 0.500
Ac3 0.324 0.824 0.500
Ac4 0.500 0.500 0.000
Ac5 0.676 0.176 0.500
Ac6 0.824 0.676 0.500
Nd1 0.121 0.621 0.000
Nd2 0.379 0.121 0.000
Nd3 0.621 0.879 0.000
Nd4 0.879 0.379 0.000



Ordered energy relative to the elements results: 176 43 258 86; unit meV per atom.
Ordered E results: -4.23 -4.60 -4.11 -4.29; unit eV/atom.